A plane-wave DFT calculation with PBE was carried out for a relaxed Ac4AuN crystal.

Unit cell a=9.432 b=9.432 c=6.913 alpha=108.24 beta=108.24 gamma=120.36
Sites, in units of the cell vectors:
Ac1 0.050 0.654 0.858
Ac2 0.191 0.295 0.679
Ac3 0.295 0.191 0.179
Ac4 0.346 0.950 0.642
Ac5 0.654 0.050 0.358
Ac6 0.705 0.809 0.821
Ac7 0.809 0.705 0.321
Ac8 0.950 0.346 0.142
Au1 0.385 0.615 0.250
Au2 0.615 0.385 0.750
N1 0.100 0.900 0.750
N2 0.900 0.100 0.250

Values from the calculation:
Size of the total moment ... 0.00 μB per formula unit
SG ... No. 15
Formation energy without anion corrections ... -560 meV per atom